1.
# PBE NbTe2IO, optimized geometry
data_NbTe2IO
_chemical_formula_sum 'Nb1 Te2 I1 O1'
_cell_length_a 4.498
_cell_length_b 4.498
_cell_length_c 5.948
_cell_angle_alpha 90.00
_cell_angle_beta 90.00
_cell_angle_gamma 90.00
_symmetry_space_group_name_H-M 'P 1'
_symmetry_Int_Tables_number 1
loop_
_symmetry_equiv_pos_as_xyz
'x,y,z'
loop_
_atom_site_label
_atom_site_fract_x
_atom_site_fract_y
_atom_site_fract_z
I1 0.000 0.000 0.500
Te1 0.500 0.000 0.000
Te2 0.000 0.500 0.000
O1 0.000 0.000 0.000
Nb1 0.500 0.500 0.500
# ΔE_f (raw)	453	meV/atom
# energy above the lowest structure with this stoichiometry	0.00	eV per formula unit
# spin magnetization	2.3	μB/f.u.

2.
# PBE Pm3TmHg4, optimized geometry
data_Pm3TmHg4
_chemical_formula_sum 'Pm3 Tm1 Hg4'
_cell_length_a 3.808
_cell_length_b 7.600
_cell_length_c 9.200
_cell_angle_alpha 114.40
_cell_angle_beta 101.94
_cell_angle_gamma 90.00
_symmetry_space_group_name_H-M 'P 1'
_symmetry_Int_Tables_number 1
loop_
_symmetry_equiv_pos_as_xyz
'x,y,z'
loop_
_atom_site_label
_atom_site_fract_x
_atom_site_fract_y
_atom_site_fract_z
Pm1 0.000 0.500 0.000
Pm2 0.797 0.797 0.595
Pm3 0.203 0.203 0.405
Hg1 0.628 0.835 0.257
Hg2 0.372 0.165 0.743
Hg3 0.372 0.578 0.743
Hg4 0.628 0.422 0.257
Tm1 0.500 0.000 0.000
# ΔE_f	-330	meV/atom
# energy above the lowest structure with this stoichiometry	1.14	eV per formula unit
# spin magnetization	0.0	μB/f.u.

3.
# PBE Cs2TiGaCu, optimized geometry
data_Cs2TiGaCu
_chemical_formula_sum 'Cs2 Ti1 Ga1 Cu1'
_cell_length_a 6.984
_cell_length_b 4.634
_cell_length_c 6.984
_cell_angle_alpha 90.00
_cell_angle_beta 90.00
_cell_angle_gamma 90.00
_symmetry_space_group_name_H-M 'P 1'
_symmetry_Int_Tables_number 1
loop_
_symmetry_equiv_pos_as_xyz
'x,y,z'
loop_
_atom_site_label
_atom_site_fract_x
_atom_site_fract_y
_atom_site_fract_z
Ga1 0.000 0.500 0.000
Cs1 0.500 0.000 0.000
Cs2 0.000 0.000 0.500
Cu1 0.000 0.000 0.000
Ti1 0.500 0.500 0.500
# ΔE_f	1000	meV/atom
# spin magnetization	0.2	μB/f.u.

4.
# PBE LaCeGaSi, optimized geometry
data_LaCeGaSi
_chemical_formula_sum 'La1 Ce1 Ga1 Si1'
_cell_length_a 4.445
_cell_length_b 4.066
_cell_length_c 6.090
_cell_angle_alpha 90.00
_cell_angle_beta 111.41
_cell_angle_gamma 90.00
_symmetry_space_group_name_H-M 'P 1'
_symmetry_Int_Tables_number 1
loop_
_symmetry_equiv_pos_as_xyz
'x,y,z'
loop_
_atom_site_label
_atom_site_fract_x
_atom_site_fract_y
_atom_site_fract_z
La1 0.147 0.000 0.293
Ce1 0.859 0.500 0.719
Ga1 0.566 0.500 0.132
Si1 0.428 0.000 0.856
# ΔE_f (raw)	-618	meV/atom
# energy above the lowest structure with this stoichiometry	0.00	eV per formula unit
# spin magnetization	1.5	μB/f.u.

5.
# PBE Li3TiCr2S6, optimized geometry
data_Li3TiCr2S6
_chemical_formula_sum 'Li3 Ti1 Cr2 S6'
_cell_length_a 6.017
_cell_length_b 6.017
_cell_length_c 6.380
_cell_angle_alpha 99.05
_cell_angle_beta 99.05
_cell_angle_gamma 119.98
_symmetry_space_group_name_H-M 'P 1'
_symmetry_Int_Tables_number 1
loop_
_symmetry_equiv_pos_as_xyz
'x,y,z'
loop_
_atom_site_label
_atom_site_fract_x
_atom_site_fract_y
_atom_site_fract_z
S1 0.735 0.735 0.229
S2 0.418 0.076 0.228
S3 0.582 0.924 0.772
S4 0.924 0.582 0.772
S5 0.265 0.265 0.771
S6 0.076 0.418 0.228
Li1 0.166 0.834 0.500
Li2 0.834 0.166 0.500
Li3 0.500 0.500 0.500
Cr1 0.333 0.667 0.000
Cr2 0.667 0.333 0.000
Ti1 0.000 0.000 0.000
# ΔE_f (raw)	-1109	meV/atom
# spin magnetization	5.0	μB/f.u.

6.
# PBE YW2Au, optimized geometry
data_YW2Au
_chemical_formula_sum 'Y1 W2 Au1'
_cell_length_a 10.408
_cell_length_b 10.408
_cell_length_c 10.408
_cell_angle_alpha 16.05
_cell_angle_beta 16.05
_cell_angle_gamma 16.05
_symmetry_space_group_name_H-M 'P 1'
_symmetry_Int_Tables_number 1
loop_
_symmetry_equiv_pos_as_xyz
'x,y,z'
loop_
_atom_site_label
_atom_site_fract_x
_atom_site_fract_y
_atom_site_fract_z
W1 0.493 0.493 0.493
W2 0.007 0.007 0.007
Au1 0.750 0.750 0.750
Y1 0.250 0.250 0.250
# ΔE_f	724	meV/atom
# energy above the lowest structure with this stoichiometry	2.35	eV per formula unit
# spin magnetization	0.5	μB/f.u.

Which formula does entry 3 have? Cs2TiGaCu